1.
DFT (GGA-PBE) results for a geometry-optimized LiIn4 structure.

The structure in CIF format:
```
data_LiIn4
_cell_length_a 6.380
_cell_length_b 6.380
_cell_length_c 6.380
_cell_angle_alpha 90.00
_cell_angle_beta 90.00
_cell_angle_gamma 90.00
_symmetry_space_group_name_H-M 'I m -3 m'
_symmetry_Int_Tables_number 229
_symmetry_space_group_name_Hall '-I 4 2 3'
loop_
_atom_site_label
_atom_site_type_symbol
_atom_site_fract_x
_atom_site_fract_y
_atom_site_fract_z
_atom_site_occupancy
Li1 Li 0.000 0.000 0.000 1
In1 In 0.250 0.250 0.250 1
```

Computed properties:
final energy = -25.630 eV for the cell shown
relative energy among the computed polymorphs = 0.027 eV per atom
energy of formation = 0.011 eV/atom
DOS(E_F) = 3.0 states/eV/cell



2.
DFT (GGA-PBE) results for a geometry-optimized Li4In3 structure.

The structure in CIF format:
```
data_Li4In3
_cell_length_a 5.9906
_cell_length_b 5.9906
_cell_length_c 5.0883
_cell_angle_alpha 90.00
_cell_angle_beta 90.00
_cell_angle_gamma 120.00
_symmetry_space_group_name_H-M 'P 6/m m m'
_symmetry_Int_Tables_number 191
_symmetry_space_group_name_Hall '-P 6 2'
loop_
_atom_site_label
_atom_site_type_symbol
_atom_site_fract_x
_atom_site_fract_y
_atom_site_fract_z
_atom_site_occupancy
Li1 Li 0.0000 0.0000 0.2411 1
Li2 Li 0.3333 0.6667 0.5000 1
In1 In 0.0000 0.5000 0.0000 1
```

Computed properties:
final energy = -16.681 eV for the cell shown
relative energy among the computed polymorphs = 0.155 eV per atom
energy of formation = -0.116 eV/atom
DOS(E_F) = 2.7 states/eV/cell



3.
DFT (GGA-PBE) results for a geometry-optimized LiIn5 structure.

The structure in CIF format:
```
data_LiIn5
_cell_length_a 5.9525
_cell_length_b 5.9525
_cell_length_c 5.7128
_cell_angle_alpha 90.00
_cell_angle_beta 90.00
_cell_angle_gamma 120.00
_symmetry_space_group_name_H-M 'P 6/m m m'
_symmetry_Int_Tables_number 191
_symmetry_space_group_name_Hall '-P 6 2'
loop_
_atom_site_label
_atom_site_type_symbol
_atom_site_fract_x
_atom_site_fract_y
_atom_site_fract_z
_atom_site_occupancy
Li1 Li 0.0000 0.0000 0.0000 1
In1 In 0.0000 0.5000 0.5000 1
In2 In 0.3333 0.6667 0.0000 1
```

Computed properties:
final energy = -15.105 eV for the cell shown
relative energy among the computed polymorphs = 0.164 eV per atom
energy of formation = 0.083 eV/atom
DOS(E_F) = 2.9 states/eV/cell



4.
DFT (GGA-PBE) results for a geometry-optimized LiLuIn structure.

The structure in CIF format:
```
data_LiLuIn
_cell_length_a 3.556
_cell_length_b 3.556
_cell_length_c 10.922
_cell_angle_alpha 90.00
_cell_angle_beta 90.00
_cell_angle_gamma 90.00
_symmetry_space_group_name_H-M 'I 4 m m'
_symmetry_Int_Tables_number 107
_symmetry_space_group_name_Hall 'I 4 -2'
loop_
_atom_site_label
_atom_site_type_symbol
_atom_site_fract_x
_atom_site_fract_y
_atom_site_fract_z
_atom_site_occupancy
Li1 Li 0.000 0.000 0.000 1
Lu1 Lu 0.000 0.000 0.309 1
In1 In 0.000 0.000 0.623 1
```

Computed properties:
final energy = -19.412 eV for the cell shown
energy of formation = -0.178 eV/atom
DOS(E_F) = 5.0 states/eV/cell



5.
DFT (GGA-PBE) results for a geometry-optimized LiLuIn structure.

The structure in CIF format:
```
data_LiLuIn
_cell_length_a 4.8893
_cell_length_b 4.8893
_cell_length_c 3.3117
_cell_angle_alpha 90.00
_cell_angle_beta 90.00
_cell_angle_gamma 120.00
_symmetry_space_group_name_H-M 'P -6 m 2'
_symmetry_Int_Tables_number 187
_symmetry_space_group_name_Hall 'P -6 2'
loop_
_atom_site_label
_atom_site_type_symbol
_atom_site_fract_x
_atom_site_fract_y
_atom_site_fract_z
_atom_site_occupancy
Li1 Li 0.0000 0.0000 0.0000 1
Lu1 Lu 0.6667 0.3333 0.5000 1
In1 In 0.3333 0.6667 0.0000 1
```

Computed properties:
final energy = -10.067 eV for the cell shown
energy of formation = -0.298 eV/atom
DOS(E_F) = 1.5 states/eV/cell



6.
DFT (GGA-PBE) results for a geometry-optimized LiLu2In structure.

The structure in CIF format:
```
data_LiLu2In
_cell_length_a 3.3461
_cell_length_b 3.3461
_cell_length_c 34.6342
_cell_angle_alpha 90.00
_cell_angle_beta 90.00
_cell_angle_gamma 120.00
_symmetry_space_group_name_H-M 'R -3 m'
_symmetry_Int_Tables_number 166
_symmetry_space_group_name_Hall '-R 3 2"'
loop_
_atom_site_label
_atom_site_type_symbol
_atom_site_fract_x
_atom_site_fract_y
_atom_site_fract_z
_atom_site_occupancy
Li1 Li 0.0000 0.0000 0.0000 1
Lu1 Lu 0.0000 0.0000 0.4095 1
In1 In 0.0000 0.0000 0.5000 1
```

Computed properties:
final energy = -38.371 eV for the cell shown
energy of formation = 0.226 eV/atom
DOS(E_F) = 11.5 states/eV/cell



7.
DFT (GGA-PBE) results for a geometry-optimized LiLu2In structure.

The structure in CIF format:
```
data_LiLu2In
_cell_length_a 7.303
_cell_length_b 7.303
_cell_length_c 7.303
_cell_angle_alpha 90.00
_cell_angle_beta 90.00
_cell_angle_gamma 90.00
_symmetry_space_group_name_H-M 'F m -3 m'
_symmetry_Int_Tables_number 225
_symmetry_space_group_name_Hall '-F 4 2 3'
loop_
_atom_site_label
_atom_site_type_symbol
_atom_site_fract_x
_atom_site_fract_y
_atom_site_fract_z
_atom_site_occupancy
Li1 Li 0.000 0.000 0.000 1
Lu1 Lu 0.250 0.250 0.250 1
In1 In 0.000 0.000 0.500 1
```

Computed properties:
final energy = -58.470 eV for the cell shown
energy of formation = -0.231 eV/atom
DOS(E_F) = 10.6 states/eV/cell



8.
DFT (GGA-PBE) results for a geometry-optimized LiLuMnIn structure.

The structure in CIF format:
```
data_LiLuMnIn
_cell_length_a 6.770
_cell_length_b 6.770
_cell_length_c 6.770
_cell_angle_alpha 90.00
_cell_angle_beta 90.00
_cell_angle_gamma 90.00
_symmetry_space_group_name_H-M 'F -4 3 m'
_symmetry_Int_Tables_number 216
_symmetry_space_group_name_Hall 'F -4 2 3'
loop_
_atom_site_label
_atom_site_type_symbol
_atom_site_fract_x
_atom_site_fract_y
_atom_site_fract_z
_atom_site_occupancy
Li1 Li 0.000 0.000 0.000 1
Lu1 Lu 0.250 0.250 0.750 1
Mn1 Mn 0.000 0.000 0.500 1
In1 In 0.250 0.250 0.250 1
```

Computed properties:
final energy = -74.554 eV for the cell shown
energy of formation = -0.074 eV/atom
DOS(E_F) = 10.7 states/eV/cell



9.
DFT (GGA-PBE) results for a geometry-optimized LiLuInNi structure.

The structure in CIF format:
```
data_LiLuInNi
_cell_length_a 6.546
_cell_length_b 6.546
_cell_length_c 6.546
_cell_angle_alpha 90.00
_cell_angle_beta 90.00
_cell_angle_gamma 90.00
_symmetry_space_group_name_H-M 'F -4 3 m'
_symmetry_Int_Tables_number 216
_symmetry_space_group_name_Hall 'F -4 2 3'
loop_
_atom_site_label
_atom_site_type_symbol
_atom_site_fract_x
_atom_site_fract_y
_atom_site_fract_z
_atom_site_occupancy
Li1 Li 0.000 0.000 0.000 1
Lu1 Lu 0.250 0.250 0.750 1
In1 In 0.250 0.250 0.250 1
Ni1 Ni 0.000 0.000 0.500 1
```

Computed properties:
final energy = -65.823 eV for the cell shown
energy of formation = -0.375 eV/atom
DOS(E_F) = 18.3 states/eV/cell



10.
DFT (GGA-PBE) results for a geometry-optimized LiLuInPb structure.

The structure in CIF format:
```
data_LiLuInPb
_cell_length_a 7.323
_cell_length_b 7.323
_cell_length_c 7.323
_cell_angle_alpha 90.00
_cell_angle_beta 90.00
_cell_angle_gamma 90.00
_symmetry_space_group_name_H-M 'F -4 3 m'
_symmetry_Int_Tables_number 216
_symmetry_space_group_name_Hall 'F -4 2 3'
loop_
_atom_site_label
_atom_site_type_symbol
_atom_site_fract_x
_atom_site_fract_y
_atom_site_fract_z
_atom_site_occupancy
Li1 Li 0.000 0.000 0.000 1
Lu1 Lu 0.000 0.000 0.500 1
In1 In 0.250 0.250 0.250 1
Pb1 Pb 0.250 0.250 0.750 1
```

Computed properties:
final energy = -56.144 eV for the cell shown
energy of formation = -0.289 eV/atom
DOS(E_F) = 6.8 states/eV/cell



11.
DFT (GGA-PBE) results for a geometry-optimized LiLuInPd structure.

The structure in CIF format:
```
data_LiLuInPd
_cell_length_a 6.713
_cell_length_b 6.713
_cell_length_c 6.713
_cell_angle_alpha 90.00
_cell_angle_beta 90.00
_cell_angle_gamma 90.00
_symmetry_space_group_name_H-M 'F -4 3 m'
_symmetry_Int_Tables_number 216
_symmetry_space_group_name_Hall 'F -4 2 3'
loop_
_atom_site_label
_atom_site_type_symbol
_atom_site_fract_x
_atom_site_fract_y
_atom_site_fract_z
_atom_site_occupancy
Li1 Li 0.000 0.000 0.000 1
Lu1 Lu 0.250 0.250 0.750 1
In1 In 0.250 0.250 0.250 1
Pd1 Pd 0.000 0.000 0.500 1
```

Computed properties:
final energy = -67.448 eV for the cell shown
energy of formation = -0.624 eV/atom
DOS(E_F) = 14.8 states/eV/cell



12.
DFT (GGA-PBE) results for a geometry-optimized LiPmLuIn structure.

The structure in CIF format:
```
data_LiPmLuIn
_cell_length_a 7.481
_cell_length_b 7.481
_cell_length_c 7.481
_cell_angle_alpha 90.00
_cell_angle_beta 90.00
_cell_angle_gamma 90.00
_symmetry_space_group_name_H-M 'F -4 3 m'
_symmetry_Int_Tables_number 216
_symmetry_space_group_name_Hall 'F -4 2 3'
loop_
_atom_site_label
_atom_site_type_symbol
_atom_site_fract_x
_atom_site_fract_y
_atom_site_fract_z
_atom_site_occupancy
Li1 Li 0.000 0.000 0.000 1
Pm1 Pm 0.250 0.250 0.750 1
Lu1 Lu 0.250 0.250 0.250 1
In1 In 0.000 0.000 0.500 1
```

Computed properties:
final energy = -59.719 eV for the cell shown
energy of formation = -0.251 eV/atom
DOS(E_F) = 14.4 states/eV/cell